[1]
## LaSm4Zn (GGA-PBE)

Data for a relaxed structure of LaSm4Zn.

Computed properties:
- M_tot: 0.0 μB/cell
- E_form: -0.01 eV per atom
- ρ: 7.11 g/cm³
- E above lowest polymorph: 88 meV/atom
- SG: C2/c, No. 15

Cell lengths 6.394, 9.235, 8.230 Å; angles 114.56, 100.28, 111.99 degrees
Sites, in units of the cell vectors:
Sm 0.371 0.923 0.639
Sm 0.247 0.617 0.782
Sm 0.753 0.383 0.218
Sm 0.965 0.835 0.218
Sm 0.035 0.165 0.782
Sm 0.769 0.716 0.639
Sm 0.629 0.077 0.361
Sm 0.231 0.284 0.361
Zn 0.250 0.000 0.001
Zn 0.750 0.000 0.999
La 0.652 0.402 0.804
La 0.348 0.598 0.196

---

[2]
## La5SmZn4 (GGA-PBE)

Data for a relaxed structure of La5SmZn4.

Computed properties:
- M_tot: 0.0 μB/cell
- E_form: -0.24 eV per atom
- ρ: 6.45 g/cm³
- SG: P4/mmm, No. 123

Cell lengths 3.762, 3.762, 20.115 Å; angles 90.00, 90.00, 90.00 degrees
Sites, in units of the cell vectors:
La 0.500 0.500 0.314
La 0.500 0.500 0.500
La 0.500 0.500 0.872
La 0.500 0.500 0.128
La 0.500 0.500 0.686
Zn 0.000 0.000 0.593
Zn 0.000 0.000 0.407
Zn 0.000 0.000 0.781
Zn 0.000 0.000 0.219
Sm 0.000 0.000 0.000